# 1
Entry from Alexandria: crystalline Ta3CdI at its relaxed geometry (PBE).

Unit cell a=5.0071 b=5.0071 c=5.0071 alpha=90.00 beta=90.00 gamma=90.00
With the nearest neighbours (Å) after each atom.
Positions (direct):
Ta  0.0000  0.0000  0.5000  2 I 2.50
Ta  0.0000  0.5000  0.0000  2 I 2.50
Ta  0.5000  0.0000  0.0000  2 I 2.50
Cd  0.5000  0.5000  0.5000  12 Ta 3.54
I  0.0000  0.0000  0.0000  6 Ta 2.50

For the density of states at the Fermi level, the calculation gives 6.97 states/eV/f.u. Its space-group type is No. 221. Its formation energy from raw total energies is 2027 meV/atom. The relative energy among the computed polymorphs comes out at 0 kJ/mol of formula units.

---

# 2
Entry from Alexandria: crystalline TaCd2I at its relaxed geometry (PBE).

Unit cell a=7.4046 b=7.4046 c=7.4046 alpha=90.00 beta=90.00 gamma=90.00
With the nearest neighbours (Å) after each atom.
Positions (direct):
Ta  0.0000  0.0000  0.0000  8 Cd 3.21
Ta  0.0000  0.5000  0.5000  8 Cd 3.21
Ta  0.5000  0.0000  0.5000  8 Cd 3.21
Ta  0.5000  0.5000  0.0000  8 Cd 3.21
Cd  0.2500  0.2500  0.2500  4 Ta 3.21, 4 I 3.21
Cd  0.2500  0.2500  0.7500  4 Ta 3.21, 4 I 3.21
Cd  0.2500  0.7500  0.2500  4 Ta 3.21, 4 I 3.21
Cd  0.2500  0.7500  0.7500  4 Ta 3.21, 4 I 3.21
Cd  0.7500  0.2500  0.2500  4 Ta 3.21, 4 I 3.21
Cd  0.7500  0.2500  0.7500  4 Ta 3.21, 4 I 3.21
Cd  0.7500  0.7500  0.2500  4 Ta 3.21, 4 I 3.21
Cd  0.7500  0.7500  0.7500  4 Ta 3.21, 4 I 3.21
I  0.0000  0.0000  0.5000  8 Cd 3.21
I  0.0000  0.5000  0.0000  8 Cd 3.21
I  0.5000  0.0000  0.0000  8 Cd 3.21
I  0.5000  0.5000  0.5000  8 Cd 3.21

For the density of states at the Fermi level, the calculation gives 2.39 states/eV/f.u. Its space-group type is No. 225. Its formation energy from raw total energies is 1116 meV/atom. The relative energy among the computed polymorphs comes out at 116 kJ/mol of formula units.

---

# 3
Entry from Alexandria: crystalline Ta2CdI at its relaxed geometry (PBE).

Unit cell a=4.1811 b=4.1811 c=20.7039 alpha=90.00 beta=90.00 gamma=90.00
With the nearest neighbours (Å) after each atom.
Positions (direct):
Ta  0.2328  0.2500  0.1250  4 Ta 2.86-3.06, 2 Cd 2.96, 2 I 3.01
Ta  0.2500  0.7328  0.3750  4 Ta 2.86-3.06, 2 Cd 2.96, 2 I 3.01
Ta  0.2500  0.7672  0.8750  4 Ta 2.86-3.06, 2 Cd 2.96, 2 I 3.01
Ta  0.2672  0.2500  0.6250  4 Ta 2.86-3.06, 2 Cd 2.96, 2 I 3.01
Ta  0.7328  0.7500  0.6250  4 Ta 2.86-3.06, 2 Cd 2.96, 2 I 3.01
Ta  0.7500  0.2328  0.8750  4 Ta 2.86-3.06, 2 Cd 2.96, 2 I 3.01
Ta  0.7500  0.2672  0.3750  4 Ta 2.86-3.06, 2 Cd 2.96, 2 I 3.01
Ta  0.7672  0.7500  0.1250  4 Ta 2.86-3.06, 2 Cd 2.96, 2 I 3.01
Cd  0.0000  0.0000  0.0000  4 Ta 2.96, 4 I 2.96
Cd  0.0000  0.5000  0.2500  4 Ta 2.96, 4 I 2.96
Cd  0.5000  0.0000  0.7500  4 Ta 2.96, 4 I 2.96
Cd  0.5000  0.5000  0.5000  4 Ta 2.96, 4 I 2.96
I  0.0000  0.0000  0.5000  4 Cd 2.96, 4 Ta 3.01
I  0.0000  0.5000  0.7500  4 Cd 2.96, 4 Ta 3.01
I  0.5000  0.0000  0.2500  4 Cd 2.96, 4 Ta 3.01
I  0.5000  0.5000  0.0000  4 Cd 2.96, 4 Ta 3.01

For the density of states at the Fermi level, the calculation gives 4.30 states/eV/f.u. Its space-group type is No. 122. Its formation energy from raw total energies is 943 meV/atom. The relative energy among the computed polymorphs comes out at 7 kJ/mol of formula units.

---

# 4
Entry from Alexandria: crystalline Ta2CdI2 at its relaxed geometry (PBE).

Unit cell a=3.9161 b=3.9161 c=20.3831 alpha=90.00 beta=90.00 gamma=90.00
With the nearest neighbours (Å) after each atom.
Positions (direct):
Ta  0.0000  0.5000  0.2500  4 Ta 2.77, 4 I 2.93
Ta  0.0000  0.5000  0.7500  4 Ta 2.77, 4 I 2.93
Ta  0.5000  0.0000  0.2500  4 Ta 2.77, 4 I 2.93
Ta  0.5000  0.0000  0.7500  4 Ta 2.77, 4 I 2.93
Cd  0.0000  0.0000  0.0000  4 Cd 3.92, 8 I 4.02
Cd  0.5000  0.5000  0.5000  4 Cd 3.92, 8 I 4.02
I  0.0000  0.0000  0.3569  4 Ta 2.93
I  0.0000  0.0000  0.6431  4 Ta 2.93
I  0.5000  0.5000  0.1431  4 Ta 2.93
I  0.5000  0.5000  0.8569  4 Ta 2.93

For the density of states at the Fermi level, the calculation gives 4.32 states/eV/f.u. Its space-group type is No. 139. Its formation energy from raw total energies is 435 meV/atom. The relative energy among the computed polymorphs comes out at 0 kJ/mol of formula units.

---

# 5
Entry from Alexandria: crystalline Ta3CdI at its relaxed geometry (PBE).

Unit cell a=5.0656 b=5.0656 c=5.0656 alpha=90.00 beta=90.00 gamma=90.00
With the nearest neighbours (Å) after each atom.
Positions (direct):
Ta  0.0000  0.0000  0.5000  2 Cd 2.53
Ta  0.0000  0.5000  0.0000  2 Cd 2.53
Ta  0.5000  0.0000  0.0000  2 Cd 2.53
Cd  0.0000  0.0000  0.0000  6 Ta 2.53
I  0.5000  0.5000  0.5000  12 Ta 3.58

For the density of states at the Fermi level, the calculation gives 9.70 states/eV/f.u. Its space-group type is No. 221. Its formation energy from raw total energies is 2308 meV/atom. The relative energy among the computed polymorphs comes out at 136 kJ/mol of formula units.

---

# 6
Entry from Alexandria: crystalline Ta2CdI2 at its relaxed geometry (PBE).

Unit cell a=8.4587 b=8.4587 c=3.1654 alpha=90.00 beta=90.00 gamma=90.00
With the nearest neighbours (Å) after each atom.
Positions (direct):
Ta  0.1696  0.3303  0.0000  6 I 2.83-3.03, 2 Ta 3.17
Ta  0.3303  0.8304  0.0000  6 I 2.83-3.03, 2 Ta 3.17
Ta  0.6696  0.1696  0.0000  6 I 2.83-3.03, 2 Ta 3.17
Ta  0.8304  0.6696  0.0000  6 I 2.83-3.03, 2 Ta 3.17
Cd  0.0000  0.0000  0.5000  2 Cd 3.17, 4 I 3.30, 8 Ta 3.52
Cd  0.5000  0.5000  0.5000  2 Cd 3.17, 4 I 3.30, 8 Ta 3.52
I  0.1341  0.6341  0.5000  6 Ta 2.83-3.03, 2 I 3.17
I  0.3659  0.1341  0.5000  6 Ta 2.83-3.03, 2 I 3.17
I  0.6341  0.8659  0.5000  6 Ta 2.83-3.03, 2 I 3.17
I  0.8659  0.3659  0.5000  6 Ta 2.83-3.03, 2 I 3.17

For the density of states at the Fermi level, the calculation gives 4.65 states/eV/f.u. Its space-group type is No. 127. Its formation energy from raw total energies is 1082 meV/atom. The relative energy among the computed polymorphs comes out at 312 kJ/mol of formula units.

---

# 7
Entry from Alexandria: crystalline TaCdTe2I at its relaxed geometry (PBE).

Unit cell a=5.4169 b=5.4169 c=5.7252 alpha=90.00 beta=90.00 gamma=90.00
With the nearest neighbours (Å) after each atom.
Positions (direct):
Ta  0.0000  0.0000  0.0000  4 Te 2.71, 2 I 2.86
Cd  0.5000  0.5000  0.5000  4 I 3.83, 8 Te 3.94
Te  0.0000  0.5000  0.0000  2 Ta 2.71
Te  0.5000  0.0000  0.0000  2 Ta 2.71
I  0.0000  0.0000  0.5000  2 Ta 2.86

For the density of states at the Fermi level, the calculation gives 2.54 states/eV/f.u. Its space-group type is No. 123. Its formation energy from raw total energies is 150 meV/atom. The relative energy among the computed polymorphs comes out at 0 kJ/mol of formula units.

---

# 8
Entry from Alexandria: crystalline Ta2TiCdI at its relaxed geometry (PBE).

Unit cell a=5.0421 b=5.0421 c=4.9146 alpha=90.00 beta=90.00 gamma=90.00
With the nearest neighbours (Å) after each atom.
Positions (direct):
Ta  0.0000  0.5000  0.0000  2 I 2.52
Ta  0.5000  0.0000  0.0000  2 I 2.52
Ti  0.0000  0.0000  0.5000  2 I 2.46
Cd  0.5000  0.5000  0.5000  8 Ta 3.52, 4 Ti 3.57
I  0.0000  0.0000  0.0000  2 Ti 2.46, 4 Ta 2.52

For the density of states at the Fermi level, the calculation gives 5.76 states/eV/f.u. Its space-group type is No. 123. Its formation energy from raw total energies is 1665 meV/atom.

---

# 9
Entry from Alexandria: crystalline Y2TaCdI at its relaxed geometry (PBE).

Unit cell a=5.6406 b=5.6406 c=5.3248 alpha=90.00 beta=90.00 gamma=90.00
With the nearest neighbours (Å) after each atom.
Positions (direct):
Y  0.0000  0.5000  0.0000  2 Ta 2.82
Y  0.5000  0.0000  0.0000  2 Ta 2.82
Ta  0.0000  0.0000  0.0000  2 I 2.66, 4 Y 2.82
Cd  0.5000  0.5000  0.5000  8 Y 3.88, 4 I 3.99
I  0.0000  0.0000  0.5000  2 Ta 2.66

For the density of states at the Fermi level, the calculation gives 5.60 states/eV/f.u. Its space-group type is No. 123. Its formation energy from raw total energies is 607 meV/atom.

---

# 10
Entry from Alexandria: crystalline TbCdI2 at its relaxed geometry (PBE).

Unit cell a=4.1962 b=4.1962 c=30.6640 alpha=90.00 beta=90.00 gamma=120.00
With the nearest neighbours (Å) after each atom.
Positions (direct):
Tb  0.0000  0.0000  0.0000  2 I 2.94
Tb  0.3333  0.6667  0.6667  2 I 2.94
Tb  0.6667  0.3333  0.3333  2 I 2.94
Cd  0.0000  0.0000  0.5000  6 I 3.25
Cd  0.3333  0.6667  0.1667  6 I 3.25
Cd  0.6667  0.3333  0.8333  6 I 3.25
I  0.0000  0.0000  0.0959  1 Tb 2.94, 3 Cd 3.25
I  0.0000  0.0000  0.9041  1 Tb 2.94, 3 Cd 3.25
I  0.3333  0.6667  0.5708  1 Tb 2.94, 3 Cd 3.25
I  0.3333  0.6667  0.7625  1 Tb 2.94, 3 Cd 3.25
I  0.6667  0.3333  0.2375  1 Tb 2.94, 3 Cd 3.25
I  0.6667  0.3333  0.4292  1 Tb 2.94, 3 Cd 3.25

For the density of states at the Fermi level, the calculation gives 2.61 states/eV/f.u. Its space-group type is No. 166. Its formation energy from raw total energies is -238 meV/atom.

---

# 11
Entry from Alexandria: crystalline CdTcI3 at its relaxed geometry (PBE).

Unit cell a=5.5859 b=5.5859 c=5.5859 alpha=90.00 beta=90.00 gamma=90.00
With the nearest neighbours (Å) after each atom.
Positions (direct):
Cd  0.0000  0.0000  0.0000  12 I 3.95
Tc  0.5000  0.5000  0.5000  6 I 2.79
I  0.0000  0.5000  0.5000  2 Tc 2.79
I  0.5000  0.0000  0.5000  2 Tc 2.79
I  0.5000  0.5000  0.0000  2 Tc 2.79

For the density of states at the Fermi level, the calculation gives 3.97 states/eV/f.u. Its space-group type is No. 221. Its formation energy from raw total energies is 294 meV/atom. The relative energy among the computed polymorphs comes out at 0 kJ/mol of formula units.

---

# 12
Entry from Alexandria: crystalline CdTcI3 at its relaxed geometry (PBE).

Unit cell a=5.8654 b=5.8654 c=5.8654 alpha=90.00 beta=90.00 gamma=90.00
With the nearest neighbours (Å) after each atom.
Positions (direct):
Cd  0.0000  0.0000  0.0000  6 I 2.93
Tc  0.5000  0.5000  0.5000  12 I 4.15
I  0.0000  0.0000  0.5000  2 Cd 2.93
I  0.0000  0.5000  0.0000  2 Cd 2.93
I  0.5000  0.0000  0.0000  2 Cd 2.93

For the density of states at the Fermi level, the calculation gives 5.93 states/eV/f.u. Its space-group type is No. 221. Its formation energy from raw total energies is 754 meV/atom. The relative energy among the computed polymorphs comes out at 222 kJ/mol of formula units.

---

Looking at M_tot for the records above, in order, we have 0.00 2.39 0.00 0.00 0.00 0.00 0.00 2.19 0.00 0.00 2.91 5.81 μB/f.u..